Entry 1:
Entry from Alexandria via LeMat-Bulk: a relaxed structure of GaPb2Br2 (GGA-PBE).

abc: 7.841 7.841 5.108
angles: 90.00 90.00 90.00
Sites, in units of the cell vectors:
Ga 0.000 0.000 0.000
Ga 0.500 0.500 0.000
Pb 0.157 0.343 0.000
Pb 0.343 0.843 0.000
Pb 0.657 0.157 0.000
Pb 0.843 0.657 0.000
Br 0.191 0.691 0.500
Br 0.309 0.191 0.500
Br 0.691 0.809 0.500
Br 0.809 0.309 0.500

Total energy in eV/cell: -30.5
Formation energy from raw total energies in eV per atom: -0.288
Magnetic moment in μB per atom: 0.00



Entry 2:
Entry from Alexandria via LeMat-Bulk: a relaxed structure of SrBeHg2 (GGA-PBE).

abc: 5.529 5.529 5.529
angles: 137.05 117.49 78.84
Sites, in units of the cell vectors:
Sr 0.000 0.000 0.000
Be 0.500 0.500 0.000
Hg 0.306 0.806 0.500
Hg 0.694 0.194 0.500

Total energy in eV/cell: -5.9
Magnetic moment in μB per atom: 0.00



Entry 3:
Entry from Alexandria via LeMat-Bulk: a relaxed structure of Tb3Ga4Pd4 (GGA-PBE).

abc: 8.235 8.235 8.235
angles: 150.53 128.56 60.40
Sites, in units of the cell vectors:
Tb 0.000 0.000 0.000
Tb 0.373 0.873 0.500
Tb 0.627 0.127 0.500
Ga 0.026 0.327 0.699
Ga 0.372 0.673 0.699
Ga 0.628 0.327 0.301
Ga 0.974 0.673 0.301
Pd 0.213 0.213 0.000
Pd 0.302 0.500 0.802
Pd 0.698 0.500 0.198
Pd 0.787 0.787 0.000

Total energy in eV/cell: -56.0
Relative energy among the computed polymorphs in meV/atom: 0.0
Magnetic moment in μB per atom: 0.00



Entry 4:
Entry from Alexandria via LeMat-Bulk: a relaxed structure of PuBiPd2 (GGA-PBE).

abc: 4.749 4.749 3.866
angles: 90.00 90.00 90.00
Sites, in units of the cell vectors:
Pu 0.000 0.000 0.000
Bi 0.500 0.500 0.000
Pd 0.000 0.500 0.500
Pd 0.500 0.000 0.500

Total energy in eV/cell: -29.9
Relative energy among the computed polymorphs in meV/atom: 99.9
Magnetic moment in μB per atom: 1.39



Entry 5:
Entry from Alexandria via LeMat-Bulk: a relaxed structure of ErTmCdPb (GGA-PBE).

abc: 5.293 5.293 5.293
angles: 60.00 60.00 60.00
Sites, in units of the cell vectors:
Er 0.000 0.000 0.000
Tm 0.500 0.500 0.500
Cd 0.250 0.250 0.250
Pb 0.750 0.750 0.750

Total energy in eV/cell: -15.0
Relative energy among the computed polymorphs in meV/atom: 8.7
Magnetic moment in μB per atom: 0.00



Entry 6:
Entry from Alexandria via LeMat-Bulk: a relaxed structure of AgSb2Ru2 (GGA-PBE).

abc: 7.602 7.602 3.146
angles: 90.00 90.00 90.00
Sites, in units of the cell vectors:
Ag 0.000 0.000 0.000
Ag 0.500 0.500 0.000
Sb 0.156 0.344 0.500
Sb 0.344 0.844 0.500
Sb 0.656 0.156 0.500
Sb 0.844 0.656 0.500
Ru 0.140 0.640 0.000
Ru 0.360 0.140 0.000
Ru 0.640 0.860 0.000
Ru 0.860 0.360 0.000

Total energy in eV/cell: -58.8
Formation energy from raw total energies in eV per atom: 0.045
Magnetic moment in μB per atom: 0.00



Entry 7:
Entry from Alexandria via LeMat-Bulk: a relaxed structure of Li2PbF8 (GGA-PBE).

abc: 6.706 6.706 7.051
angles: 90.55 90.55 96.17
Sites, in units of the cell vectors:
Li 0.185 0.187 0.001
Li 0.187 0.185 0.501
Li 0.813 0.815 0.499
Li 0.815 0.813 0.999
Pb 0.218 0.782 0.750
Pb 0.782 0.218 0.250
F 0.103 0.275 0.252
F 0.134 0.863 0.472
F 0.137 0.866 0.028
F 0.203 0.480 0.896
F 0.214 0.480 0.608
F 0.275 0.103 0.752
F 0.480 0.203 0.396
F 0.480 0.214 0.108
F 0.520 0.786 0.892
F 0.520 0.797 0.604
F 0.725 0.897 0.248
F 0.786 0.520 0.392
F 0.797 0.520 0.104
F 0.863 0.134 0.972
F 0.866 0.137 0.528
F 0.897 0.725 0.748

Total energy in eV/cell: -86.0
Formation energy from raw total energies in eV per atom: -1.862
Magnetic moment in μB per atom: 0.19



Entry 8:
Entry from Alexandria via LeMat-Bulk: a relaxed structure of NaBi (GGA-PBE).

abc: 3.435 3.435 4.941
angles: 90.00 90.00 90.00
Sites, in units of the cell vectors:
Na 0.000 0.000 0.000
Bi 0.500 0.500 0.500

Total energy in eV/cell: -5.8
Relative energy among the computed polymorphs in meV/atom: 0.0
Magnetic moment in μB per atom: 0.00



Entry 9:
Entry from Alexandria via LeMat-Bulk: a relaxed structure of MgAs2Au (GGA-PBE).

abc: 5.990 5.990 5.990
angles: 144.75 139.89 54.45
Sites, in units of the cell vectors:
Mg 0.000 0.000 0.000
As 0.263 0.763 0.500
As 0.453 0.453 0.000
Au 0.681 0.181 0.500

Total energy in eV/cell: -14.5
Magnetic moment in μB per atom: 0.00



Entry 10:
Entry from Alexandria via LeMat-Bulk: a relaxed structure of Zn2NiRu (GGA-PBE).

abc: 2.627 2.627 8.636
angles: 90.00 90.00 114.73
Sites, in units of the cell vectors:
Zn 0.000 0.000 0.000
Zn 0.500 0.500 0.269
Ni 0.000 0.000 0.502
Ru 0.500 0.500 0.743

Total energy in eV/cell: -17.1
Magnetic moment in μB per atom: 0.00



Entry 11:
Entry from Alexandria via LeMat-Bulk: a relaxed structure of Y2AsOs (GGA-PBE).

abc: 4.947 4.947 4.947
angles: 60.00 60.00 60.00
Sites, in units of the cell vectors:
Y 0.250 0.250 0.250
Y 0.750 0.750 0.750
As 0.000 0.000 0.000
Os 0.500 0.500 0.500

Total energy in eV/cell: -30.5
Relative energy among the computed polymorphs in meV/atom: 260.9
Magnetic moment in μB per atom: 0.00



Entry 12:
Entry from Alexandria via LeMat-Bulk: a relaxed structure of NpIn2Pd8 (GGA-PBE).

abc: 7.581 7.581 6.492
angles: 106.43 106.43 31.98
Sites, in units of the cell vectors:
Np 0.000 0.000 0.000
In 0.281 0.281 0.344
In 0.719 0.719 0.656
Pd 0.095 0.095 0.454
Pd 0.178 0.178 0.916
Pd 0.360 0.360 0.809
Pd 0.460 0.460 0.274
Pd 0.540 0.540 0.726
Pd 0.640 0.640 0.191
Pd 0.822 0.822 0.084
Pd 0.905 0.905 0.546

Total energy in eV/cell: -64.5
Magnetic moment in μB per atom: 0.28



- Look up the total energy of the fifth one.
  -15.0 eV/cell